[1]
{"formula": "Sr2MnRe", "functional": "PBE-GGA", "state": "relaxed", "lattice_angstrom": [[4.0798, -0.0055, 0.0464], [2.0451, 3.5302, 0.0464], [1.8701, 1.0762, 8.7269]], "species": ["Re", "Sr", "Mn", "Sr"], "fractional_positions": [[0.7918, 0.7918, 0.6245], [0.2110, 0.2110, 0.3577], [0.4582, 0.4582, 0.6255], [0.0390, 0.0390, 0.8922]], "spacegroup": "Cm, No. 8", "e_above_lowest_polymorph_mev_per_atom": 0, "final_energy_ev_per_atom": -5.86, "delta_e_f_ev_per_atom": 0.381}



[2]
{"formula": "TmSi2Ni5", "functional": "PBE-GGA", "state": "relaxed", "lattice_angstrom": [[3.5454, 0.0000, 0.0000], [1.7727, 5.5925, 0.3636], [1.7727, 1.3849, 5.4305]], "species": ["Ni", "Ni", "Ni", "Ni", "Ni", "Tm", "Si", "Si"], "fractional_positions": [[0.6470, 0.5427, 0.1633], [0.3530, 0.8367, 0.4573], [0.0000, 0.5000, 0.5000], [0.3530, 0.4573, 0.8367], [0.6470, 0.1633, 0.5427], [0.0000, 0.0000, 0.0000], [0.2470, 0.2530, 0.2530], [0.7530, 0.7470, 0.7470]], "spacegroup": "Immm, No. 71", "raw_formation_energy_ev_per_atom": -0.613, "final_energy_ev_per_atom": -6.14}



[3]
{"formula": "NaHfNi2Ir", "functional": "PBE-GGA", "state": "relaxed", "lattice_angstrom": [[4.5703, 0.0000, 0.0000], [0.0000, 4.6996, 0.0000], [0.0000, 0.0000, 4.5703]], "species": ["Ir", "Ni", "Na", "Ni", "Hf"], "fractional_positions": [[0.0000, 0.0000, 0.0000], [0.5000, 0.0000, 0.0000], [0.0000, 0.5000, 0.0000], [0.0000, 0.0000, 0.5000], [0.5000, 0.5000, 0.5000]], "spacegroup": "P4/mmm, No. 123", "final_energy_ev_per_atom": -5.19, "delta_e_f_ev_per_atom": 1.149}



[4]
{"formula": "NbRe2", "functional": "PBE-GGA", "state": "relaxed", "lattice_angstrom": [[3.1757, 0.0000, 0.0000], [0.0000, 3.1757, 0.0000], [-1.5879, -1.5879, 4.7626]], "species": ["Re", "Re", "Nb"], "fractional_positions": [[0.6674, 0.6674, 0.3347], [0.3326, 0.3326, 0.6653], [0.0000, 0.0000, 0.0000]], "spacegroup": "I4/mmm, No. 139", "final_energy_ev_per_atom": -11.68, "delta_e_f_ev_per_atom": -0.025}



The spin magnetization results, record by record, are as follows: 1.857 0.000 1.449 0.001 μB/cell.